P) # Ta2FeOs

Ta2FeOs after structural relaxation (GGA-PBEsol, the Alexandria database).

symmetry = Pmmm, No. 47
total magnetization = 0.513 μB per atom

Cell and atoms, written as POSCAR:
```
Ta2FeOs
1.0
-2.948 -1.178 -0.350
0.481 0.050 -4.225
1.625 -4.106 0.137
Fe Os Ta
1 1 2
Cartesian
-1.234 -0.564 -2.287 Fe
1.053 -2.028 -2.044 Os
0.000 0.000 0.000 Ta
-0.662 -2.642 -0.106 Ta
```



Q) # Ta2FeOs

Ta2FeOs after structural relaxation (GGA-PBEsol, the Alexandria database).

symmetry = P4/mmm, No. 123
total magnetization = 0.356 μB per atom

Cell and atoms, written as POSCAR:
```
Ta2FeOs
1.0
3.075 0.000 0.000
0.000 3.075 0.000
0.000 0.000 6.305
Os Fe Ta
1 1 2
Cartesian
1.538 1.538 3.152 Os
1.538 1.538 0.000 Fe
0.000 0.000 4.809 Ta
0.000 0.000 1.495 Ta
```



R) # Ta2FeOs

Ta2FeOs after structural relaxation (GGA-PBEsol, the Alexandria database).

symmetry = P4mm, No. 99
total magnetization = 0.601 μB per atom

Cell and atoms, written as POSCAR:
```
Ta2FeOs
1.0
-1.235 -2.121 -1.964
2.301 0.571 -2.063
3.410 -4.383 2.590
Fe Os Ta
1 1 2
Cartesian
1.701 -2.187 1.292 Fe
3.062 -4.025 -0.093 Os
3.359 -4.318 2.551 Ta
1.470 -1.978 -1.303 Ta
```



P) is the least stable structure shown above.